Record 1
Material: SrCaVInO6
Method: DFT, GGA+U
State: relaxed

It has space group F-43m (No. 216), with a = 8.019 Å, b = 8.019 Å, c = 8.019 Å, α = 90.00°, β = 90.00° and γ = 90.00°. The inequivalent atoms are Sr at (0.000, 0.000, 0.000), Ca at (0.000, 0.000, 0.500), V at (0.250, 0.250, 0.750), In at (0.250, 0.250, 0.250) and O at (0.015, 0.250, 0.750).

The density of states at the Fermi level is 0.00 states/eV/cell. As for the total energy: -6.56 eV per atom.


Record 2
Material: Hg2WF
Method: DFT, GGA+U
State: relaxed

It has space group Fm-3m (No. 225), with a = 6.933 Å, b = 6.933 Å, c = 6.933 Å, α = 90.00°, β = 90.00° and γ = 90.00°. The inequivalent atoms are Hg at (0.250, 0.250, 0.250), W at (0.000, 0.000, 0.000) and F at (0.000, 0.000, 0.500).

The density of states at the Fermi level is 2.45 states/eV/cell. As for the offset from the most stable computed form: 14 meV/atom. As for the total energy: -2.23 eV per atom.